#P
5
Lattice="7.542 0.027 0.000 4.474 6.071 0.000 -5.634 -3.786 3.287" Properties=species:S:1:pos:R:3 comment="Ho2TeS2, relaxed, DFT PBE" volume_a3_per_cell=150 n_ef_per_ev_fu=0.000 pbc="T T T"
S 3.564 1.809 0.000
S 8.452 4.289 0.000
Ho 4.955 0.151 1.643
Ho 1.427 2.161 1.643
Te 0.000 0.000 0.000

#Q
10
Lattice="-3.049 -0.426 6.330 -3.062 -5.611 -2.946 6.598 -0.847 0.464" Properties=species:S:1:pos:R:3 comment="Ho2TeS2, relaxed, DFT PBE" volume_a3_per_cell=274 n_ef_per_ev_fu=0.000 pbc="T T T"
Ho 1.888 -5.334 -0.966
Ho 1.894 -3.195 2.860
Ho -1.402 -1.550 4.813
Ho -1.408 -3.689 0.988
S 1.076 -3.018 0.316
S -0.590 -3.866 3.531
S 4.378 -2.276 2.635
S -3.892 -4.609 1.213
Te -1.411 -5.162 -1.647
Te 1.897 -1.723 5.495

Least stable of them? #Q.